1.
Density functional theory data (PBE) for a relaxed BaZr2Fe crystal.

Values from the calculation:
Space-group type: Imm2 (44)
DOS at the Fermi energy (states/eV/f.u.): 6.23
ΔH_f (0 K) (eV per formula unit): 1.65
Raw total energy (Ha/atom): -0.2373

Unit cell a=8.5265 b=8.5265 c=8.5265 alpha=157.70 beta=152.18 gamma=35.94
Last column: nearest neighbours and their distance in Å.
Fractional positions:
1 Ba 0.0000 0.0000 0.0000  2 Ba 3.30, 2 Zr 3.61, 2 Fe 3.67
2 Zr 0.3199 0.3199 0.0000  2 Fe 2.53
3 Zr 0.6831 0.1831 0.5000  4 Fe 2.65
4 Fe 0.2019 0.7019 0.5000  6 Zr 2.53-2.65

---

2.
Density functional theory data (PBE) for a relaxed Dy4TmSb5 crystal.

Values from the calculation:
Space-group type: I4/mmm (139)
Raw formation energy (eV/f.u.): -11.2
DOS at the Fermi energy (states/eV/f.u.): 1.19
Raw total energy (Ha/atom): -0.2010

Unit cell a=15.7677 b=15.7677 c=15.7677 alpha=164.06 beta=164.06 gamma=22.62
Last column: nearest neighbours and their distance in Å.
Fractional positions:
1 Dy 0.0999 0.0999 0.0000  6 Sb 3.09-3.10
2 Dy 0.3003 0.3003 0.0000  6 Sb 3.09-3.10
3 Dy 0.6997 0.6997 0.0000  6 Sb 3.09-3.10
4 Dy 0.9001 0.9001 0.0000  6 Sb 3.09-3.10
5 Tm 0.5000 0.5000 0.0000  6 Sb 3.07-3.09
6 Sb 0.0000 0.0000 0.0000  2 Dy 3.09, 4 Tm 3.09
7 Sb 0.2000 0.2000 0.0000  6 Dy 3.09-3.10
8 Sb 0.4007 0.4007 0.0000  1 Tm 3.07, 5 Dy 3.09-3.10
9 Sb 0.5993 0.5993 0.0000  1 Tm 3.07, 5 Dy 3.09-3.10
10 Sb 0.8000 0.8000 0.0000  6 Dy 3.09-3.10

---

3.
Density functional theory data (PBE) for a relaxed GaSbS2N crystal.

Values from the calculation:
Space-group type: P4/mmm (123)
Raw formation energy (eV/f.u.): 2.6
DOS at the Fermi energy (states/eV/f.u.): 2.01
Raw total energy (Ha/atom): -0.1555

Unit cell a=4.9208 b=4.9208 c=3.7284 alpha=90.00 beta=90.00 gamma=90.00
Last column: nearest neighbours and their distance in Å.
Fractional positions:
1 Ga 0.0000 0.0000 0.0000  2 N 1.86
2 Sb 0.5000 0.5000 0.5000  8 S 3.09
3 S 0.0000 0.5000 0.0000  2 Ga 2.46
4 S 0.5000 0.0000 0.0000  2 Ga 2.46
5 N 0.0000 0.0000 0.5000  2 Ga 1.86

---

4.
Density functional theory data (PBE) for a relaxed Ca4TmNp3N8 crystal.

Values from the calculation:
Space-group type: R-3m (166)
Raw formation energy (eV/f.u.): -20.0
DOS at the Fermi energy (states/eV/f.u.): 18.51
Raw total energy (Ha/atom): -0.3167

Unit cell a=6.9595 b=6.9595 c=6.9595 alpha=59.78 beta=59.78 gamma=59.78
Last column: nearest neighbours and their distance in Å.
Fractional positions:
1 Ca 0.0000 0.0000 0.0000  6 N 2.53
2 Ca 0.0000 0.5000 0.5000  6 N 2.56-2.61
3 Ca 0.5000 0.0000 0.5000  6 N 2.56-2.61
4 Ca 0.5000 0.5000 0.0000  6 N 2.56-2.61
5 Tm 0.5000 0.5000 0.5000  6 N 2.40
6 Np 0.0000 0.0000 0.5000  6 N 2.32-2.36
7 Np 0.0000 0.5000 0.0000  6 N 2.32-2.36
8 Np 0.5000 0.0000 0.0000  6 N 2.32-2.36
9 N 0.2272 0.7431 0.7431  2 Np 2.32, 1 Tm 2.40, 1 Ca 2.53
10 N 0.2396 0.2396 0.2396  3 Np 2.36, 3 Ca 2.56
11 N 0.2569 0.2569 0.7728  2 Np 2.32, 1 Tm 2.40, 1 Ca 2.53
12 N 0.2569 0.7728 0.2569  2 Np 2.32, 1 Tm 2.40, 1 Ca 2.53
13 N 0.7431 0.2272 0.7431  2 Np 2.32, 1 Tm 2.40, 1 Ca 2.53
14 N 0.7431 0.7431 0.2272  2 Np 2.32, 1 Tm 2.40, 1 Ca 2.53
15 N 0.7604 0.7604 0.7604  3 Np 2.36, 3 Ca 2.56
16 N 0.7728 0.2569 0.2569  2 Np 2.32, 1 Tm 2.40, 1 Ca 2.53

---

5.
Density functional theory data (PBE) for a relaxed CsFeBiBr6 crystal.

Values from the calculation:
Space-group type: C2 (5)
Raw formation energy (eV/f.u.): -7.8
DOS at the Fermi energy (states/eV/f.u.): 6.64
Raw total energy (Ha/atom): -0.1269

Unit cell a=7.2607 b=7.2607 c=8.0842 alpha=90.08 beta=90.08 gamma=120.08
Last column: nearest neighbours and their distance in Å.
Fractional positions:
1 Cs 0.0000 0.0000 0.0000  6 Br 3.68-3.69
2 Fe 0.3329 0.6671 0.5000  6 Br 2.65-2.66
3 Bi 0.6665 0.3335 0.5000  6 Br 2.89-2.90
4 Br 0.0255 0.6366 0.3052  1 Fe 2.65, 1 Bi 2.90
5 Br 0.0255 0.3877 0.6943  1 Fe 2.65, 1 Bi 2.89
6 Br 0.3634 0.9745 0.6948  1 Fe 2.65, 1 Bi 2.90
7 Br 0.3658 0.3909 0.3037  1 Fe 2.66, 1 Bi 2.89
8 Br 0.6091 0.6342 0.6963  1 Fe 2.66, 1 Bi 2.89
9 Br 0.6123 0.9745 0.3057  1 Fe 2.65, 1 Bi 2.89

---

6.
Density functional theory data (PBE) for a relaxed Zn2CdTe crystal.

Values from the calculation:
Space-group type: R3m (160)
Raw formation energy (eV/f.u.): 0.1
DOS at the Fermi energy (states/eV/f.u.): 1.29
Raw total energy (Ha/atom): -0.0602

Unit cell a=6.5303 b=6.5303 c=6.5303 alpha=37.39 beta=37.39 gamma=37.39
Last column: nearest neighbours and their distance in Å.
Fractional positions:
1 Zn 0.0000 0.0000 0.0000  3 Zn 2.66, 3 Te 2.87
2 Zn 0.2724 0.2724 0.2724  3 Zn 2.66, 3 Cd 2.82
3 Cd 0.5263 0.5263 0.5263  3 Zn 2.82, 3 Te 3.12
4 Te 0.7515 0.7515 0.7515  3 Zn 2.87, 3 Cd 3.12

---

7.
Density functional theory data (PBE) for a relaxed Tm2AlPd2 crystal.

Values from the calculation:
Space-group type: Ibam (72)
DOS at the Fermi energy (states/eV/f.u.): 3.75
ΔH_f (0 K) (eV per formula unit): -3.68
Raw total energy (Ha/atom): -0.1966

Unit cell a=7.0678 b=7.0678 c=7.0678 alpha=117.81 beta=81.56 gamma=132.87
Last column: nearest neighbours and their distance in Å.
Fractional positions:
1 Tm 0.1599 0.1536 0.3134  5 Pd 2.75-2.98
2 Tm 0.3401 0.6536 0.9937  5 Pd 2.75-2.98
3 Tm 0.6599 0.3464 0.0063  5 Pd 2.75-2.98
4 Tm 0.8401 0.8464 0.6866  5 Pd 2.75-2.98
5 Al 0.2500 0.7500 0.5000  4 Pd 2.59, 2 Al 2.83
6 Al 0.7500 0.2500 0.5000  4 Pd 2.59, 2 Al 2.83
7 Pd 0.0939 0.7633 0.8572  2 Al 2.59, 2 Tm 2.75-2.78
8 Pd 0.4061 0.2633 0.6694  2 Al 2.59, 2 Tm 2.75-2.78
9 Pd 0.5939 0.7367 0.3306  2 Al 2.59, 2 Tm 2.75-2.78
10 Pd 0.9061 0.2367 0.1428  2 Al 2.59, 2 Tm 2.75-2.78

---

8.
Density functional theory data (PBE) for a relaxed ErZnCu2Au4 crystal.

Values from the calculation:
Space-group type: R-3m (166)
DOS at the Fermi energy (states/eV/f.u.): 3.14
ΔH_f (0 K) (eV per formula unit): -2.63
Raw total energy (Ha/atom): -0.1368

Unit cell a=7.9420 b=7.9420 c=7.9420 alpha=33.86 beta=33.86 gamma=33.86
Last column: nearest neighbours and their distance in Å.
Fractional positions:
1 Er 0.0000 0.0000 0.0000  8 Au 2.91-2.97, 6 Cu 3.18
2 Zn 0.5000 0.5000 0.5000  8 Au 2.58-2.78
3 Cu 0.2561 0.2561 0.2561  8 Au 2.73-2.94
4 Cu 0.7439 0.7439 0.7439  8 Au 2.73-2.94
5 Au 0.1325 0.1325 0.1325  4 Cu 2.77-2.94, 3 Zn 2.78, 1 Er 2.97, 3 Au 3.08
6 Au 0.3851 0.3851 0.3851  1 Zn 2.58, 3 Cu 2.73
7 Au 0.6149 0.6149 0.6149  1 Zn 2.58, 3 Cu 2.73
8 Au 0.8675 0.8675 0.8675  4 Cu 2.77-2.94, 3 Zn 2.78, 1 Er 2.97, 3 Au 3.08

---

9.
Density functional theory data (PBE) for a relaxed MgFe2AsC crystal.

Values from the calculation:
Space-group type: P4/mmm (123)
DOS at the Fermi energy (states/eV/f.u.): 5.65
ΔH_f (0 K) (eV per formula unit): 12.60
Raw total energy (Ha/atom): -0.1455

Unit cell a=4.6288 b=4.6288 c=4.6565 alpha=90.00 beta=90.00 gamma=90.00
Last column: nearest neighbours and their distance in Å.
Fractional positions:
1 Mg 0.0000 0.0000 0.0000  4 Fe 2.31, 2 As 2.33
2 Fe 0.0000 0.5000 0.0000  2 Mg 2.31
3 Fe 0.5000 0.0000 0.0000  2 Mg 2.31
4 As 0.0000 0.0000 0.5000  2 Mg 2.33
5 C 0.5000 0.5000 0.5000  4 As 3.27, 8 Fe 3.28

---

10.
Density functional theory data (PBE) for a relaxed Ti2AlCu3 crystal.

Values from the calculation:
Space-group type: P6_3/mmc (194)
DOS at the Fermi energy (states/eV/f.u.): 4.66
ΔH_f (0 K) (eV per formula unit): -1.30
Raw total energy (Ha/atom): -0.2029

Unit cell a=4.9927 b=4.9927 c=7.8977 alpha=90.00 beta=90.00 gamma=120.00
Last column: nearest neighbours and their distance in Å.
Fractional positions:
1 Ti 0.3333 0.6667 0.0635  9 Cu 2.85-2.90, 3 Al 2.93, 4 Ti 2.95-3.05
2 Ti 0.3333 0.6667 0.4365  9 Cu 2.85-2.90, 3 Al 2.93, 4 Ti 2.95-3.05
3 Ti 0.6667 0.3333 0.5635  9 Cu 2.85-2.90, 3 Al 2.93, 4 Ti 2.95-3.05
4 Ti 0.6667 0.3333 0.9365  9 Cu 2.85-2.90, 3 Al 2.93, 4 Ti 2.95-3.05
5 Al 0.0000 0.0000 0.0000  6 Cu 2.47
6 Al 0.0000 0.0000 0.5000  6 Cu 2.47
7 Cu 0.1713 0.3426 0.7500  4 Cu 2.43-2.57, 2 Al 2.47
8 Cu 0.1713 0.8287 0.7500  4 Cu 2.43-2.57, 2 Al 2.47
9 Cu 0.3426 0.1713 0.2500  4 Cu 2.43-2.57, 2 Al 2.47
10 Cu 0.6574 0.8287 0.7500  4 Cu 2.43-2.57, 2 Al 2.47
11 Cu 0.8287 0.1713 0.2500  4 Cu 2.43-2.57, 2 Al 2.47
12 Cu 0.8287 0.6574 0.2500  4 Cu 2.43-2.57, 2 Al 2.47

---

11.
Density functional theory data (PBE) for a relaxed RbHo2O crystal.

Values from the calculation:
Space-group type: R-3m (166)
Raw formation energy (eV/f.u.): -4.1
DOS at the Fermi energy (states/eV/f.u.): 3.54
Raw total energy (Ha/atom): -0.1760

Unit cell a=10.3164 b=10.3164 c=10.3164 alpha=19.88 beta=19.88 gamma=19.88
Last column: nearest neighbours and their distance in Å.
Fractional positions:
1 Rb 0.0000 0.0000 0.0000  6 Rb 3.56, 2 Ho 3.76
2 Ho 0.1240 0.1240 0.1240  3 O 2.43
3 Ho 0.8760 0.8760 0.8760  3 O 2.43
4 O 0.5000 0.5000 0.5000  6 Ho 2.43

---

12.
Density functional theory data (PBE) for a relaxed Ac12InAg6 crystal.

Values from the calculation:
Space-group type: Im-3 (204)
DOS at the Fermi energy (states/eV/f.u.): 24.70
ΔH_f (0 K) (eV per formula unit): -2.94
Raw total energy (Ha/atom): -0.1394

Unit cell a=9.6374 b=9.6374 c=9.6374 alpha=109.47 beta=109.47 gamma=109.47
Last column: nearest neighbours and their distance in Å.
Fractional positions:
1 Ac 0.1036 0.8140 0.2896  3 Ag 3.13-3.43
2 Ac 0.1860 0.2896 0.4756  3 Ag 3.13-3.43
3 Ac 0.1860 0.7104 0.8964  3 Ag 3.13-3.43
4 Ac 0.2896 0.1036 0.8140  3 Ag 3.13-3.43
5 Ac 0.2896 0.4756 0.1860  3 Ag 3.13-3.43
6 Ac 0.4756 0.1860 0.2896  3 Ag 3.13-3.43
7 Ac 0.5244 0.8140 0.7104  3 Ag 3.13-3.43
8 Ac 0.7104 0.5244 0.8140  3 Ag 3.13-3.43
9 Ac 0.7104 0.8964 0.1860  3 Ag 3.13-3.43
10 Ac 0.8140 0.2896 0.1036  3 Ag 3.13-3.43
11 Ac 0.8140 0.7104 0.5244  3 Ag 3.13-3.43
12 Ac 0.8964 0.1860 0.7104  3 Ag 3.13-3.43
13 In 0.0000 0.0000 0.0000  12 Ac 3.83
14 Ag 0.1269 0.6269 0.5000  1 Ag 2.83, 2 Ac 3.13
15 Ag 0.3731 0.5000 0.8731  1 Ag 2.83, 2 Ac 3.13
16 Ag 0.5000 0.1269 0.6269  1 Ag 2.83, 2 Ac 3.13
17 Ag 0.5000 0.8731 0.3731  1 Ag 2.83, 2 Ac 3.13
18 Ag 0.6269 0.5000 0.1269  1 Ag 2.83, 2 Ac 3.13
19 Ag 0.8731 0.3731 0.5000  1 Ag 2.83, 2 Ac 3.13